No. 1
VASP calculation (PBE) on crystalline YThZn3 at its relaxed geometry.

abc: 13.745 13.745 4.545
angles: 90.00 90.00 164.90
Atoms (fractional coordinates):
Y1 0.209 0.791 0.750
Y2 0.791 0.209 0.250
Th1 0.073 0.927 0.250
Th2 0.927 0.073 0.750
Zn1 0.326 0.674 0.750
Zn2 0.380 0.620 0.250
Zn3 0.476 0.524 0.250
Zn4 0.524 0.476 0.750
Zn5 0.620 0.380 0.750
Zn6 0.674 0.326 0.250

SG: Cmcm, No. 63
Energy of formation: -1.46 eV/f.u.
Density: 7.7 g/cm³
V: 223.7 Å³/cell

No. 2
VASP calculation (PBE) on crystalline YThZn4 at its relaxed geometry.

abc: 8.129 8.129 8.129
angles: 150.38 150.38 42.39
Atoms (fractional coordinates):
Y1 0.000 0.000 0.000
Th1 0.250 0.750 0.500
Zn1 0.419 0.419 0.000
Zn2 0.581 0.581 0.000
Zn3 0.667 0.167 0.500
Zn4 0.833 0.333 0.500

SG: I-4m2, No. 119
Energy of formation: -1.57 eV/f.u.
Density: 7.4 g/cm³
V: 130.9 Å³/cell
Energy above the lowest structure with this stoichiometry: 17 meV/atom